Entry from the Alexandria database: a geometry-optimized HoTlZn structure (GGA-PBE).

a b c (Å): 4.6972 4.6972 4.6972
angles (deg): 60.00 60.00 60.00
With the nearest neighbours (Å) after each atom.
Positions (direct):
1 Zn 0.2500 0.2500 0.2500  4 Ho 2.88, 4 Tl 2.88
2 Tl 0.0000 0.0000 0.0000  4 Zn 2.88
3 Ho 0.5000 0.5000 0.5000  4 Zn 2.88

Summary:
Final energy: -8.955 eV/f.u.
Space-group type: No. 216
Crystal system: cubic
DFT formation energy: -0.7 eV per formula unit
DOS at the Fermi energy: 0.8 states/eV per cell


Entry from the Alexandria database: a geometry-optimized Zn2NiSb structure (GGA-PBE).

a b c (Å): 4.7553 4.7553 4.1613
angles (deg): 77.58 77.58 46.59
With the nearest neighbours (Å) after each atom.
Positions (direct):
1 Ni 0.7500 0.7500 0.7500  6 Zn 2.58-2.80, 4 Sb 2.80
2 Sb 0.2500 0.2500 0.2500  6 Zn 2.69-2.98, 4 Ni 2.80
3 Zn 0.0084 0.0084 0.9497  2 Zn 2.54, 3 Ni 2.58-2.80, 1 Sb 2.69
4 Zn 0.4916 0.4916 0.5503  2 Zn 2.54, 3 Ni 2.58-2.80, 1 Sb 2.69

Summary:
Final energy: -12.196 eV/f.u.
Space-group type: No. 12
Crystal system: monoclinic
DOS at the Fermi energy: 1.4 states/eV per cell


Entry from the Alexandria database: a geometry-optimized Ac6Hg2Ru structure (GGA-PBE).

a b c (Å): 7.6073 8.0523 11.2684
angles (deg): 90.00 92.16 90.00
With the nearest neighbours (Å) after each atom.
Positions (direct):
1 Ac 0.8792 0.9797 0.2520  1 Ru 2.91
2 Ac 0.8150 0.6937 0.5564  1 Ru 2.92
3 Ac 0.8055 0.6953 0.9460  1 Ru 2.89
4 Ac 0.6945 0.1953 0.5540  1 Ru 2.89
5 Ac 0.6850 0.1937 0.9436  1 Ru 2.92
6 Ac 0.6208 0.4797 0.2480  1 Ru 2.91
7 Ac 0.1208 0.0203 0.7480  1 Ru 2.91
8 Ac 0.1850 0.3063 0.4436  1 Ru 2.92
9 Ac 0.1945 0.3047 0.0540  1 Ru 2.89
10 Ac 0.3055 0.8047 0.4460  1 Ru 2.89
11 Ac 0.3150 0.8063 0.0564  1 Ru 2.92
12 Ac 0.3792 0.5203 0.7520  1 Ru 2.91
13 Hg 0.9564 0.4077 0.7611  6 Ac 3.35-3.46
14 Hg 0.5436 0.9077 0.7389  6 Ac 3.35-3.46
15 Hg 0.4564 0.0923 0.2611  6 Ac 3.35-3.46
16 Hg 0.0436 0.5923 0.2389  6 Ac 3.35-3.46
17 Ru 0.5000 0.5000 0.0000  6 Ac 2.89-2.92
18 Ru 0.0000 0.0000 0.5000  6 Ac 2.89-2.92

Summary:
Final energy: -36.958 eV/f.u.
Space-group type: No. 14
Crystal system: monoclinic
DFT formation energy: -2.4 eV per formula unit
DOS at the Fermi energy: 19.6 states/eV per cell


Entry from the Alexandria database: a geometry-optimized CrIr2Br structure (GGA-PBE).

a b c (Å): 4.7950 4.7950 4.7950
angles (deg): 130.43 130.43 72.73
With the nearest neighbours (Å) after each atom.
Positions (direct):
1 Br 0.2500 0.7500 0.5000  8 Ir 2.79, 4 Cr 2.84
2 Cr 0.7500 0.2500 0.5000  8 Ir 2.79, 4 Br 2.84
3 Ir 0.0000 0.0000 0.0000  4 Cr 2.79, 4 Br 2.79, 4 Ir 2.84
4 Ir 0.5000 0.5000 0.0000  4 Br 2.79, 4 Cr 2.79, 4 Ir 2.84

Summary:
Relative energy among the computed polymorphs: 1.76 eV per formula unit
Final energy: -25.618 eV/f.u.
Space-group type: No. 139
Crystal system: tetragonal
DOS at the Fermi energy: 4.0 states/eV per cell


Entry from the Alexandria database: a geometry-optimized AgPd2Au5 structure (GGA-PBE).

a b c (Å): 7.1852 7.1852 7.5516
angles (deg): 118.41 118.41 90.00
With the nearest neighbours (Å) after each atom.
Positions (direct):
1 Ag 0.7500 0.7500 0.5000  10 Au 2.79-2.91
2 Ag 0.2500 0.2500 0.5000  10 Au 2.79-2.91
3 Pd 0.1448 0.3552 0.0000  8 Au 2.76-2.78, 1 Pd 2.94
4 Pd 0.6448 0.1448 0.0000  8 Au 2.76-2.78, 1 Pd 2.94
5 Pd 0.3552 0.8552 0.0000  8 Au 2.76-2.78, 1 Pd 2.94
6 Pd 0.8552 0.6448 0.0000  8 Au 2.76-2.78, 1 Pd 2.94
7 Au 0.4873 0.6884 0.6757  3 Pd 2.77-2.78, 4 Au 2.83-3.04, 2 Ag 2.91
8 Au 0.8116 0.0127 0.3243  3 Pd 2.77-2.78, 4 Au 2.83-3.04, 2 Ag 2.91
9 Au 0.0000 0.0000 0.0000  4 Pd 2.76, 2 Ag 2.79
10 Au 0.5000 0.5000 0.0000  4 Pd 2.76, 2 Ag 2.79
11 Au 0.1884 0.9873 0.6757  3 Pd 2.77-2.78, 4 Au 2.83-3.04, 2 Ag 2.91
12 Au 0.6884 0.1884 0.6757  3 Pd 2.77-2.78, 4 Au 2.83-3.04, 2 Ag 2.91
13 Au 0.9873 0.4873 0.6757  3 Pd 2.77-2.78, 4 Au 2.83-3.04, 2 Ag 2.91
14 Au 0.3116 0.8116 0.3243  3 Pd 2.77-2.78, 4 Au 2.83-3.04, 2 Ag 2.91
15 Au 0.0127 0.5127 0.3243  3 Pd 2.77-2.78, 4 Au 2.83-3.04, 2 Ag 2.91
16 Au 0.5127 0.3116 0.3243  3 Pd 2.77-2.78, 4 Au 2.83-3.04, 2 Ag 2.91

Summary:
Relative energy among the computed polymorphs: 1.03 eV per formula unit
Final energy: -29.265 eV/f.u.
Space-group type: No. 140
Crystal system: tetragonal
DFT formation energy: 0.4 eV per formula unit
DOS at the Fermi energy: 5.4 states/eV per cell


Entry from the Alexandria database: a geometry-optimized MgRu5 structure (GGA-PBE).

a b c (Å): 2.7422 2.7422 11.5931
angles (deg): 90.00 90.00 90.00
With the nearest neighbours (Å) after each atom.
Positions (direct):
1 Mg 0.5000 0.5000 0.5000  4 Mg 2.74, 8 Ru 2.86
2 Ru 0.0000 0.0000 0.6812  8 Ru 2.63-2.74, 4 Mg 2.86
3 Ru 0.5000 0.5000 0.8344  12 Ru 2.63-2.74
4 Ru 0.0000 0.0000 0.0000  12 Ru 2.73-2.74
5 Ru 0.5000 0.5000 0.1656  12 Ru 2.63-2.74
6 Ru 0.0000 0.0000 0.3188  8 Ru 2.63-2.74, 4 Mg 2.86

Summary:
Final energy: -47.280 eV/f.u.
Space-group type: No. 123
Crystal system: tetragonal
DFT formation energy: 0.7 eV per formula unit
DOS at the Fermi energy: 6.3 states/eV per cell